The following is a GGA-PBEsol calculation of a relaxed structure of Zn3Si, from Alexandria via LeMat-Bulk.

abc: 2.618 2.618 9.733
angles: 90.00 90.00 120.00
Positions (direct):
Zn 0.000 0.000 0.000
Zn 0.333 0.667 0.244
Zn 0.333 0.667 0.756
Si 0.000 0.000 0.500

Total moment ... 0.00 μB per formula unit
Mass density ... 6.449 g/cm³
ΔE_f (raw) ... 13.62 kJ per mole of atoms
Space group ... No. 187